No. 1
The following is a DFT calculation (PBE) of crystalline HoErV4 at its relaxed geometry.

- Fermi-level density of states: 2.8236 states/eV/atom
- Total energy: -43.51 eV for the cell shown
- Total magnetization: 0.00 Bohr magnetons per cell

Structure (POSCAR):
```
HoErV4
1.0
5.364 0.000 0.000
2.682 4.645 0.000
2.682 1.548 4.380
V Ho Er
4 1 1
Cartesian
5.364 3.097 0.545
5.364 1.546 2.738
6.707 3.872 2.738
4.021 3.872 2.738
2.682 1.548 1.095
0.000 0.000 0.000
```

***

No. 2
The following is a DFT calculation (PBE) of crystalline SrTlPt at its relaxed geometry.

- Fermi-level density of states: 0.7476 states/eV/atom
- Total energy: -11.66 eV for the cell shown
- Total magnetization: 0.00 Bohr magnetons per cell

Structure (POSCAR):
```
SrTlPt
1.0
4.773 0.000 0.000
-2.387 4.134 0.000
0.000 0.000 4.220
Pt Sr Tl
1 1 1
Cartesian
0.000 0.000 3.517
2.387 1.378 1.406
0.000 2.756 3.517
```

***

Ordered formation energy from the elements results: 351 -523; unit meV/atom.